a) Entry from Alexandria via LeMat-Bulk: HoThGaTc after structural relaxation (GGA-PBE).

Summary:
space group: No. 216
V: 22.65 Å³ per atom
N(E_F): 1.7 states/eV/f.u.

```
16
Lattice="7.130 0.000 0.000 0.000 7.130 0.000 0.000 0.000 7.130" Properties=species:S:1:pos:R:3 pbc="T T T"
Ho 0.000 0.000 0.000
Ho 0.000 3.565 3.565
Ho 3.565 0.000 3.565
Ho 3.565 3.565 0.000
Th 0.000 0.000 3.565
Th 0.000 3.565 0.000
Th 3.565 0.000 0.000
Th 3.565 3.565 3.565
Ga 1.782 1.782 5.347
Ga 1.782 5.347 1.782
Ga 5.347 1.782 1.782
Ga 5.347 5.347 5.347
Tc 1.782 1.782 1.782
Tc 1.782 5.347 5.347
Tc 5.347 1.782 5.347
Tc 5.347 5.347 1.782
```

=====

b) Entry from Alexandria via LeMat-Bulk: HoThGaTc after structural relaxation (GGA-PBE).

Summary:
space group: No. 38
V: 23.32 Å³ per atom
N(E_F): 4.0 states/eV/f.u.

```
8
Lattice="3.966 0.000 0.000 0.000 4.090 0.000 0.000 0.000 11.501" Properties=species:S:1:pos:R:3 pbc="T T T"
Ho 0.000 0.000 0.000
Ho 0.000 2.045 5.750
Th 1.983 0.000 8.311
Th 1.983 2.045 2.560
Ga 1.983 0.000 4.905
Ga 1.983 2.045 10.656
Tc 0.000 0.000 3.112
Tc 0.000 2.045 8.862
```

=====

Tell me which of them is the least stable. Sure, it is a).

=====

a) Entry from Alexandria via LeMat-Bulk: Ho5Ga2Te after structural relaxation (GGA-PBE).

Summary:
space group: No. 107
V: 25.69 Å³ per atom
N(E_F): 7.8 states/eV/f.u.

```
16
Lattice="7.371 0.000 0.000 0.000 7.371 0.000 0.000 0.000 7.566" Properties=species:S:1:pos:R:3 pbc="T T T"
Ho 0.000 0.000 0.000
Ho 1.729 1.729 5.340
Ho 1.729 5.642 5.340
Ho 1.956 1.956 1.557
Ho 1.956 5.415 1.557
Ho 3.685 3.685 3.783
Ho 5.415 1.956 1.557
Ho 5.415 5.415 1.557
Ho 5.642 1.729 5.340
Ho 5.642 5.642 5.340
Ga 0.000 3.685 3.594
Ga 0.000 3.685 7.377
Ga 3.685 0.000 3.594
Ga 3.685 0.000 7.377
Te 0.000 0.000 3.066
Te 3.685 3.685 6.849
```

=====

b) Entry from Alexandria via LeMat-Bulk: Ho5Ga2Te after structural relaxation (GGA-PBE).

Summary:
space group: No. 140
V: 25.99 Å³ per atom
N(E_F): 8.4 states/eV/f.u.

```
16
Lattice="-4.055 4.055 6.321 4.055 -4.055 6.321 4.055 4.055 -6.321" Properties=species:S:1:pos:R:3 pbc="T T T"
Ho 0.000 0.000 0.000
Ho 5.292 1.236 -1.803
Ho 1.236 2.819 -1.803
Ho 5.292 1.236 1.803
Ho 1.236 2.819 1.803
Ho 0.000 0.000 6.321
Ho 2.819 1.236 4.518
Ho -1.236 2.819 4.518
Ho 2.819 1.236 8.124
Ho -1.236 2.819 8.124
Ga 2.845 1.211 0.000
Ga 2.845 -1.211 6.321
Ga 1.211 5.266 0.000
Ga 1.211 2.845 6.321
Te 0.000 0.000 3.160
Te 0.000 0.000 9.481
```

=====

Tell me which of them is the least stable. Sure, it is a).

=====

a) Entry from Alexandria via LeMat-Bulk: Ho4GaTe2 after structural relaxation (GGA-PBE).

Summary:
space group: No. 63
V: 29.33 Å³ per atom
N(E_F): 5.7 states/eV/f.u.

```
14
Lattice="2.119 -6.894 0.000 2.119 6.894 0.000 0.000 0.000 14.055" Properties=species:S:1:pos:R:3 pbc="T T T"
Ho 0.000 0.000 0.000
Ho 0.000 0.000 7.028
Ho 2.119 2.904 8.877
Ho 2.119 2.904 12.206
Ho 2.119 0.370 3.514
Ho 2.119 -0.370 10.541
Ho 2.119 -2.904 1.849
Ho 2.119 -2.904 5.178
Ga 2.119 5.317 3.514
Ga 2.119 -5.317 10.541
Te 2.119 1.950 0.974
Te 2.119 1.950 6.054
Te 2.119 -1.950 8.001
Te 2.119 -1.950 13.082
```

=====

b) Entry from Alexandria via LeMat-Bulk: Ho4GaTe2 after structural relaxation (GGA-PBE).

Summary:
space group: No. 12
V: 28.99 Å³ per atom
N(E_F): 4.9 states/eV/f.u.

```
14
Lattice="15.056 0.000 0.000 0.000 4.251 0.000 -3.225 0.000 6.342" Properties=species:S:1:pos:R:3 pbc="T T T"
Ho 0.640 0.000 1.873
Ho -0.804 2.125 4.778
Ho 5.108 0.000 1.564
Ho 3.664 2.125 4.469
Ho 8.168 2.125 1.873
Ho 6.724 0.000 4.778
Ho 12.636 2.125 1.564
Ho 11.192 0.000 4.469
Ga 0.000 2.125 0.000
Ga 7.528 0.000 0.000
Te 2.891 2.125 1.496
Te 1.412 0.000 4.846
Te 10.419 0.000 1.496
Te 8.940 2.125 4.846
```

=====

Tell me which of them is the least stable. Sure, it is b).